No. 1
VASP calculation (GGA-PBE) on crystalline Ge2Bi2Cl at its relaxed geometry.

It has space group P4/mbm (No. 127), with a = 8.424 Å, b = 8.424 Å, c = 3.824 Å, α = 90.00°, β = 90.00° and γ = 90.00°. Symmetry generates all atoms from Ge at (0.124, 0.376, 0.000), Bi at (0.152, 0.652, 0.500) and Cl at (0.000, 0.000, 0.500).

The formation energy (no corrections) is 0.0731 eV/atom. The total energy comes out at -3.696 eV per atom. Its offset from the most stable computed form is 161 meV per atom. As for the theoretical density: 7.33 Mg/m³. Its total moment is 0.000 μB per atom.

No. 2
VASP calculation (GGA-PBE) on crystalline Pm3ZnB2Pt9 at its relaxed geometry.

It has space group P-3m1 (No. 164), with a = 5.7805 Å, b = 5.7805 Å, c = 9.3200 Å, α = 90.00°, β = 90.00° and γ = 120.00°. Symmetry generates all atoms from Pm at (0.0000, 0.0000, 0.0000), Pm at (0.3333, 0.6667, 0.6088), Zn at (0.0000, 0.0000, 0.5000), B at (0.3333, 0.6667, 0.1504), Pt at (0.0000, 0.5000, 0.0000) and Pt at (0.1651, 0.3303, 0.2870).

The total energy comes out at -6.370 eV per atom. As for the theoretical density: 14.02 Mg/m³. Its total moment is 0.000 μB per atom. Its energy of formation from the pure elements is -820 meV per atom.

No. 3
VASP calculation (GGA-PBE) on crystalline RbTb4Ga3O12 at its relaxed geometry.

It has space group Im-3 (No. 204), with a = 8.282 Å, b = 8.282 Å, c = 8.282 Å, α = 90.00°, β = 90.00° and γ = 90.00°. Symmetry generates all atoms from Rb at (0.000, 0.000, 0.000), Tb at (0.250, 0.250, 0.250), Ga at (0.000, 0.000, 0.500) and O at (0.000, 0.159, 0.332).

The formation energy (no corrections) is -2.3752 eV/atom. The total energy comes out at -6.779 eV per atom. As for the theoretical density: 6.56 Mg/m³. Its total moment is 0.103 μB per atom.

No. 4
VASP calculation (GGA-PBE) on crystalline Pa2Co4CuAs3 at its relaxed geometry.

It has space group P-4m2 (No. 115), with a = 3.870 Å, b = 3.870 Å, c = 10.225 Å, α = 90.00°, β = 90.00° and γ = 90.00°. Symmetry generates all atoms from Pa at (0.000, 0.500, 0.244), Co at (0.000, 0.000, 0.500), Co at (0.000, 0.500, 0.850), Co at (0.500, 0.500, 0.500), Cu at (0.500, 0.500, 0.000), As at (0.000, 0.000, 0.000) and As at (0.000, 0.500, 0.627).

The total energy comes out at -7.148 eV per atom. As for the theoretical density: 10.69 Mg/m³. Its total moment is 0.078 μB per atom. Its energy of formation from the pure elements is -602 meV per atom.

No. 5
VASP calculation (GGA-PBE) on crystalline Pr3NdDy4 at its relaxed geometry.

It has space group Pmn2_1 (No. 31), with a = 11.673 Å, b = 7.354 Å, c = 6.334 Å, α = 90.00°, β = 90.00° and γ = 90.00°. Symmetry generates all atoms from Pr at (0.000, 0.128, 0.000), Pr at (0.250, 0.128, 0.337), Nd at (0.000, 0.871, 0.501), Dy at (0.000, 0.379, 0.502), Dy at (0.000, 0.621, 0.003) and Dy at (0.250, 0.379, 0.835).

The total energy comes out at -4.659 eV per atom. Its offset from the most stable computed form is 0 meV per atom. As for the theoretical density: 7.43 Mg/m³. Its total moment is 0.000 μB per atom. Its energy of formation from the pure elements is 31 meV per atom.

No. 6
VASP calculation (GGA-PBE) on crystalline Re2SbIr at its relaxed geometry.

It has space group P2/m (No. 10), with a = 2.869 Å, b = 4.124 Å, c = 5.737 Å, α = 90.00°, β = 100.73° and γ = 90.00°. Symmetry generates all atoms from Re at (0.088, 0.000, 0.221), Sb at (0.500, 0.500, 0.500) and Ir at (0.500, 0.500, 0.000).

The formation energy (no corrections) is 0.4854 eV/atom. The total energy comes out at -8.984 eV per atom. As for the theoretical density: 17.09 Mg/m³. Its total moment is 0.000 μB per atom.

What did we get for density of states at the Fermi level? Answer: 0.527 0.199 0.323 0.604 1.808 1.176 states/eV per atom, in the order shown.